## Co3Ag (PBE-GGA)

Data for a relaxed Co3Ag crystal.

## Properties
Energy relative to the elements, meV per atom: 345
Symmetry: No. 62
Total moment, μB per cell: 20.2
E_tot, Ry per atom: -0.4187

a = 4.5542 Å, b = 8.5526 Å, c = 5.2223 Å
α = 90.00°, β = 90.00°, γ = 90.00°
Closest atoms and distances in Å follow each position.
Element x y z (fractional)
Co: 0.9296 0.2500 0.8665  8 Co 2.46-2.74, 4 Ag 2.54-2.68
Co: 0.2694 0.9891 0.3628  8 Co 2.46-2.74, 3 Ag 2.62-2.70
Co: 0.2694 0.5109 0.3628  8 Co 2.46-2.74, 3 Ag 2.62-2.70
Co: 0.2306 0.4891 0.8628  8 Co 2.46-2.74, 3 Ag 2.62-2.70
Co: 0.2306 0.0109 0.8628  8 Co 2.46-2.74, 3 Ag 2.62-2.70
Co: 0.5704 0.7500 0.3665  8 Co 2.46-2.74, 4 Ag 2.54-2.68
Co: 0.4296 0.2500 0.6335  8 Co 2.46-2.74, 4 Ag 2.54-2.68
Co: 0.7694 0.9891 0.1372  8 Co 2.46-2.74, 3 Ag 2.62-2.70
Co: 0.7694 0.5109 0.1372  8 Co 2.46-2.74, 3 Ag 2.62-2.70
Co: 0.7306 0.4891 0.6372  8 Co 2.46-2.74, 3 Ag 2.62-2.70
Co: 0.7306 0.0109 0.6372  8 Co 2.46-2.74, 3 Ag 2.62-2.70
Co: 0.0704 0.7500 0.1335  8 Co 2.46-2.74, 4 Ag 2.54-2.68
Ag: 0.0648 0.7500 0.6197  10 Co 2.54-2.70, 2 Ag 2.65
Ag: 0.4352 0.2500 0.1197  10 Co 2.54-2.70, 2 Ag 2.65
Ag: 0.5648 0.7500 0.8803  10 Co 2.54-2.70, 2 Ag 2.65
Ag: 0.9352 0.2500 0.3803  10 Co 2.54-2.70, 2 Ag 2.65